No. 1
## ReSi2Ru2 (PBE)

Data for crystalline ReSi2Ru2 at its relaxed geometry.

Results
- E_form (uncorrected) (eV per atom) = 0.18
- spin magnetization (μB/f.u.) = 1.09
- relative energy among the computed polymorphs (kJ/mol of atoms) = 46.5
- V (A^3/atom) = 14.540

Cell: 3.488 3.488 11.951 Å, 90.00 90.00 90.00°
Space group I4/mmm (No. 139)
Inequivalent atoms, fractional coordinates:
Re: 0.000 0.000 0.000
Si: 0.000 0.500 0.250
Ru: 0.000 0.000 0.391



No. 2
## Sm4As3S (PBE)

Data for crystalline Sm4As3S at its relaxed geometry.

Results
- E_form (uncorrected) (eV per atom) = -1.69
- spin magnetization (μB/f.u.) = 0.00
- V (A^3/atom) = 25.617

Cell: 8.336 11.780 4.174 Å, 90.00 90.00 90.00°
Space group Cmmm (No. 65)
Inequivalent atoms, fractional coordinates:
Sm: 0.000 0.250 0.000
Sm: 0.250 0.000 0.500
As: 0.000 0.000 0.000
As: 0.250 0.250 0.500
S: 0.000 0.500 0.000



No. 3
## Ca2Al4AgPd3 (PBE)

Data for crystalline Ca2Al4AgPd3 at its relaxed geometry.

Results
- spin magnetization (μB/f.u.) = 0.00
- V (A^3/atom) = 19.710

Cell: 4.426 4.426 10.063 Å, 90.00 90.00 90.00°
Space group P-4m2 (No. 115)
Inequivalent atoms, fractional coordinates:
Ca: 0.000 0.500 0.248
Al: 0.000 0.000 0.500
Al: 0.000 0.500 0.871
Al: 0.500 0.500 0.500
Ag: 0.500 0.500 0.000
Pd: 0.000 0.000 0.000
Pd: 0.000 0.500 0.626



No. 4
## CsUTe4 (PBE)

Data for crystalline CsUTe4 at its relaxed geometry.

Results
- E_form (uncorrected) (eV per atom) = -0.64
- spin magnetization (μB/f.u.) = 2.96
- relative energy among the computed polymorphs (kJ/mol of atoms) = 0.0
- V (A^3/atom) = 38.030

Cell: 6.906 6.906 9.568 Å, 90.00 90.00 90.00°
Space group P4/nbm (No. 125, origin choice 2)
Inequivalent atoms, fractional coordinates:
Cs: 0.250 0.250 0.000
U: 0.250 0.250 0.500
Te: 0.099 0.599 0.312



No. 5
## CaZnCr2 (PBE)

Data for crystalline CaZnCr2 at its relaxed geometry.

Results
- spin magnetization (μB/f.u.) = 0.00
- V (A^3/atom) = 15.222

Cell: 2.582 2.582 9.133 Å, 90.00 90.00 90.00°
Space group P4/mmm (No. 123)
Inequivalent atoms, fractional coordinates:
Ca: 0.000 0.000 0.000
Zn: 0.000 0.000 0.500
Cr: 0.500 0.500 0.282



No. 6
## TaNi2Ag (PBE)

Data for crystalline TaNi2Ag at its relaxed geometry.

Results
- spin magnetization (μB/f.u.) = 0.00
- relative energy among the computed polymorphs (kJ/mol of atoms) = 0.0
- V (A^3/atom) = 14.465

Cell: 2.819 2.819 7.281 Å, 90.00 90.00 90.00°
Space group P4/mmm (No. 123)
Inequivalent atoms, fractional coordinates:
Ta: 0.000 0.000 0.000
Ni: 0.500 0.500 0.241
Ag: 0.000 0.000 0.500



No. 7
## MgHRh (PBE)

Data for crystalline MgHRh at its relaxed geometry.

Results
- spin magnetization (μB/f.u.) = 0.00
- V (A^3/atom) = 12.063

Cell: 2.857 2.857 8.870 Å, 90.00 90.00 90.00°
Space group I4mm (No. 107)
Inequivalent atoms, fractional coordinates:
Mg: 0.000 0.000 0.000
H: 0.000 0.000 0.238
Rh: 0.000 0.000 0.706



No. 8
## TbMn6Ga6 (PBE)

Data for crystalline TbMn6Ga6 at its relaxed geometry.

Results
- spin magnetization (μB/f.u.) = 10.33
- V (A^3/atom) = 14.616

Cell: 5.091 8.551 8.729 Å, 90.00 90.00 90.00°
Space group Immm (No. 71)
Inequivalent atoms, fractional coordinates:
Tb: 0.000 0.000 0.000
Mn: 0.000 0.259 0.500
Mn: 0.250 0.250 0.250
Ga: 0.000 0.000 0.345
Ga: 0.000 0.333 0.000
Ga: 0.000 0.500 0.315



| no. | VASP energy (eV per atom) |
| --- | --- |
| 1 | -8.186 |
| 2 | -6.305 |
| 3 | -4.389 |
| 4 | -4.761 |
| 5 | -4.841 |
| 6 | -6.577 |
| 7 | -4.266 |
| 8 | -6.182 |